# Ga2SnPb2

A relaxed Ga2SnPb2 crystal (PBE, Alexandria via LeMat-Bulk).

Summary:
- Polymorph energy (0 for the lowest one): 0.1381 eV/atom
- Magnetization: 0.000 μB per atom
- ΔE_f: 0.97 eV per formula unit

```
data_Ga2SnPb2
_space_group_name_H-M_alt 'I 4/m m m'
_space_group_IT_number 139
_space_group_name_Hall '-I 4 2'
_cell_length_a 4.829
_cell_length_b 4.829
_cell_length_c 12.044
_cell_angle_alpha 90.00
_cell_angle_beta 90.00
_cell_angle_gamma 90.00
loop_
_atom_site_label
_atom_site_type_symbol
_atom_site_fract_x
_atom_site_fract_y
_atom_site_fract_z
_atom_site_occupancy
Ga1 Ga 0.000 0.000 0.102 1
Sn1 Sn 0.000 0.000 0.500 1
Pb1 Pb 0.000 0.500 0.250 1
```


# Ga5Sn3Pb12

A relaxed Ga5Sn3Pb12 crystal (PBE, Alexandria via LeMat-Bulk).

Summary:
- Magnetization: 0.000 μB per atom
- ΔE_f: 4.49 eV per formula unit

```
data_Ga5Sn3Pb12
_space_group_name_H-M_alt 'I a -3 d'
_space_group_IT_number 230
_space_group_name_Hall '-I 4bd 2c 3'
_cell_length_a 17.480
_cell_length_b 17.480
_cell_length_c 17.480
_cell_angle_alpha 90.00
_cell_angle_beta 90.00
_cell_angle_gamma 90.00
loop_
_atom_site_label
_atom_site_type_symbol
_atom_site_fract_x
_atom_site_fract_y
_atom_site_fract_z
_atom_site_occupancy
Ga1 Ga 0.000 0.000 0.000 1
Ga2 Ga 0.000 0.250 0.375 1
Sn1 Sn 0.000 0.250 0.125 1
Pb1 Pb 0.023 0.074 0.648 1
```


# Ga2Sn2Pb

A relaxed Ga2Sn2Pb crystal (PBE, Alexandria via LeMat-Bulk).

Summary:
- Polymorph energy (0 for the lowest one): 0.0301 eV/atom
- Magnetization: 0.000 μB per atom
- ΔE_f: 0.37 eV per formula unit

```
data_Ga2Sn2Pb
_space_group_name_H-M_alt 'I 4/m m m'
_space_group_IT_number 139
_space_group_name_Hall '-I 4 2'
_cell_length_a 4.037
_cell_length_b 4.037
_cell_length_c 15.948
_cell_angle_alpha 90.00
_cell_angle_beta 90.00
_cell_angle_gamma 90.00
loop_
_atom_site_label
_atom_site_type_symbol
_atom_site_fract_x
_atom_site_fract_y
_atom_site_fract_z
_atom_site_occupancy
Ga1 Ga 0.000 0.500 0.250 1
Sn1 Sn 0.000 0.000 0.115 1
Pb1 Pb 0.000 0.000 0.500 1
```


# GaSn6Pb8

A relaxed GaSn6Pb8 crystal (PBE, Alexandria via LeMat-Bulk).

Summary:
- Magnetization: 0.000 μB per atom
- ΔE_f: 1.00 eV per formula unit

```
data_GaSn6Pb8
_space_group_name_H-M_alt 'R -3'
_space_group_IT_number 148
_space_group_name_Hall '-R 3'
_cell_length_a 8.9245
_cell_length_b 8.9245
_cell_length_c 19.9056
_cell_angle_alpha 90.00
_cell_angle_beta 90.00
_cell_angle_gamma 120.00
loop_
_atom_site_label
_atom_site_type_symbol
_atom_site_fract_x
_atom_site_fract_y
_atom_site_fract_z
_atom_site_occupancy
Ga1 Ga 0.0000 0.0000 0.0000 1
Sn1 Sn 0.0434 0.6186 0.3613 1
Pb1 Pb 0.0000 0.0000 0.4163 1
Pb2 Pb 0.0477 0.2461 0.1382 1
```


# Ga5Sn4Pb

A relaxed Ga5Sn4Pb crystal (PBE, Alexandria via LeMat-Bulk).

Summary:
- Magnetization: 0.000 μB per atom
- ΔE_f: 0.59 eV per formula unit

```
data_Ga5Sn4Pb
_space_group_name_H-M_alt 'P -1'
_space_group_IT_number 2
_space_group_name_Hall '-P 1'
_cell_length_a 3.596
_cell_length_b 3.978
_cell_length_c 16.785
_cell_angle_alpha 85.06
_cell_angle_beta 89.99
_cell_angle_gamma 89.99
loop_
_atom_site_label
_atom_site_type_symbol
_atom_site_fract_x
_atom_site_fract_y
_atom_site_fract_z
_atom_site_occupancy
Ga1 Ga 0.000 0.000 0.000 1
Ga2 Ga 0.001 0.998 0.614 1
Ga3 Ga 0.002 0.997 0.804 1
Sn1 Sn 0.498 0.500 0.099 1
Sn2 Sn 0.498 0.508 0.294 1
Pb1 Pb 0.500 0.500 0.500 1
```


# Ga4SnPb

A relaxed Ga4SnPb crystal (PBE, Alexandria via LeMat-Bulk).

Summary:
- Polymorph energy (0 for the lowest one): 0.0000 eV/atom
- Magnetization: 0.000 μB per atom
- ΔE_f: 0.35 eV per formula unit

```
data_Ga4SnPb
_space_group_name_H-M_alt 'P -1'
_space_group_IT_number 2
_space_group_name_Hall '-P 1'
_cell_length_a 4.011
_cell_length_b 6.439
_cell_length_c 6.532
_cell_angle_alpha 118.57
_cell_angle_beta 106.43
_cell_angle_gamma 92.59
loop_
_atom_site_label
_atom_site_type_symbol
_atom_site_fract_x
_atom_site_fract_y
_atom_site_fract_z
_atom_site_occupancy
Ga1 Ga 0.178 0.343 0.348 1
Ga2 Ga 0.219 0.835 0.443 1
Sn1 Sn 0.500 0.000 0.000 1
Pb1 Pb 0.500 0.500 0.000 1
```


# GaSn12Pb6

A relaxed GaSn12Pb6 crystal (PBE, Alexandria via LeMat-Bulk).

Summary:
- Magnetization: 0.000 μB per atom
- ΔE_f: 1.61 eV per formula unit

```
data_GaSn12Pb6
_space_group_name_H-M_alt 'R -3'
_space_group_IT_number 148
_space_group_name_Hall '-R 3'
_cell_length_a 11.9932
_cell_length_b 11.9932
_cell_length_c 13.7100
_cell_angle_alpha 90.00
_cell_angle_beta 90.00
_cell_angle_gamma 120.00
loop_
_atom_site_label
_atom_site_type_symbol
_atom_site_fract_x
_atom_site_fract_y
_atom_site_fract_z
_atom_site_occupancy
Ga1 Ga 0.0000 0.0000 0.0000 1
Sn1 Sn 0.0609 0.4804 0.7267 1
Sn2 Sn 0.0968 0.2200 0.4195 1
Pb1 Pb 0.0521 0.1922 0.7774 1
```


# GaSnPb

A relaxed GaSnPb crystal (PBE, Alexandria via LeMat-Bulk).

Summary:
- Polymorph energy (0 for the lowest one): 0.0341 eV/atom
- Magnetization: 0.000 μB per atom
- ΔE_f: 0.27 eV per formula unit

```
data_GaSnPb
_space_group_name_H-M_alt 'C 1 2/m 1'
_space_group_IT_number 12
_space_group_name_Hall '-C 2y'
_cell_length_a 9.995
_cell_length_b 6.383
_cell_length_c 5.560
_cell_angle_alpha 90.00
_cell_angle_beta 115.60
_cell_angle_gamma 90.00
loop_
_atom_site_label
_atom_site_type_symbol
_atom_site_fract_x
_atom_site_fract_y
_atom_site_fract_z
_atom_site_occupancy
Ga1 Ga 0.033 0.000 0.277 1
Sn1 Sn 0.250 0.250 0.000 1
Pb1 Pb 0.129 0.500 0.388 1
```


| no. | electronic total energy (eV/atom) |
| --- | --- |
| 1 | -3.301 |
| 2 | -3.358 |
| 3 | -3.479 |
| 4 | -3.714 |
| 5 | -3.427 |
| 6 | -3.245 |
| 7 | -3.774 |
| 8 | -3.491 |